# 1
First-principles (GGA-PBE) data for an optimized crystal structure of MgBe3Cd, as listed in Alexandria.

Computed properties:
The value obtained for the density of states at the Fermi level is 1.388 states/eV/f.u. Its space-group type is No. 221. The calculation puts the energy above the lowest structure with this stoichiometry at 1.959 eV per formula unit. As for the magnetic moment: 0.000 μB/cell. The formation energy is 1.362 eV per atom.

Structure (POSCAR):
```
MgBe3Cd
1.0
4.5042 0.0000 0.0000
0.0000 4.5042 0.0000
0.0000 0.0000 4.5042
Mg Be Cd
1 3 1
Cartesian
0.0000 0.0000 0.0000 Mg
0.0000 0.0000 2.2521 Be
0.0000 2.2521 0.0000 Be
2.2521 0.0000 0.0000 Be
2.2521 2.2521 2.2521 Cd
```

=====

# 2
First-principles (GGA-PBE) data for an optimized crystal structure of U2FeCo3B12, as listed in Alexandria.

Computed properties:
The value obtained for the density of states at the Fermi level is 17.907 states/eV/f.u. Its space-group type is No. 166. As for the magnetic moment: 4.837 μB/cell. The formation energy is 0.017 eV per atom.

Structure (POSCAR):
```
U2FeCo3B12
1.0
2.6581 1.5347 7.3197
-2.6581 1.5347 7.3197
0.0000 -3.0693 7.3197
U Fe Co B
2 1 3 12
Cartesian
0.0000 0.0000 3.1237 U
0.0000 0.0000 18.8354 U
0.0000 0.0000 10.9796 Fe
-1.3291 -0.7673 7.3197 Co
-1.3291 0.7673 14.6394 Co
0.0000 1.5347 7.3197 Co
0.0000 -1.0047 5.7317 B
-0.8701 0.5023 5.7317 B
-0.9993 -0.5769 9.3974 B
0.0000 -1.1539 12.5618 B
-0.9993 0.5769 12.5618 B
0.8701 0.5023 5.7317 B
-0.8701 -0.5023 16.2275 B
0.9993 -0.5769 9.3974 B
0.0000 1.1539 9.3974 B
0.9993 0.5769 12.5618 B
0.8701 -0.5023 16.2275 B
0.0000 1.0047 16.2275 B
```

=====

# 3
First-principles (GGA-PBE) data for an optimized crystal structure of NaZnSn2, as listed in Alexandria.

Computed properties:
The value obtained for the density of states at the Fermi level is 1.512 states/eV/f.u. Its space-group type is No. 123. As for the magnetic moment: 0.000 μB/cell. The formation energy is -0.015 eV per atom.

Structure (POSCAR):
```
NaZnSn2
1.0
4.6130 0.0000 0.0000
0.0000 4.6130 0.0000
0.0000 0.0000 4.4522
Na Zn Sn
1 1 2
Cartesian
0.0000 0.0000 0.0000 Na
2.3065 2.3065 0.0000 Zn
0.0000 2.3065 2.2261 Sn
2.3065 0.0000 2.2261 Sn
```

=====

# 4
First-principles (GGA-PBE) data for an optimized crystal structure of Mn3Tl2NiCl12, as listed in Alexandria.

Computed properties:
The value obtained for the density of states at the Fermi level is 3.791 states/eV/f.u. The uncorrected formation energy comes out at -16.1 eV per formula unit. Its space-group type is No. 166. As for the magnetic moment: 15.021 μB/cell.

Structure (POSCAR):
```
Mn3Tl2NiCl12
1.0
4.5428 2.6228 7.2017
-4.5428 2.6228 7.2017
0.0000 -5.2456 7.2017
Mn Tl Ni Cl
3 2 1 12
Cartesian
-2.2714 -1.3114 7.2017 Mn
-2.2714 1.3114 14.4033 Mn
0.0000 2.6228 7.2017 Mn
0.0000 0.0000 4.0621 Tl
0.0000 0.0000 17.5429 Tl
0.0000 0.0000 10.8025 Ni
0.0000 -2.0251 6.5973 Cl
-1.7538 1.0125 6.5973 Cl
-1.7384 -1.0037 9.5246 Cl
0.0000 -2.0073 12.0805 Cl
-1.7384 1.0037 12.0805 Cl
-1.7538 -1.0125 15.0077 Cl
1.7538 1.0125 6.5973 Cl
1.7384 -1.0037 9.5246 Cl
0.0000 2.0073 9.5246 Cl
1.7384 1.0037 12.0805 Cl
1.7538 -1.0125 15.0077 Cl
0.0000 2.0251 15.0077 Cl
```